Record 1
4
Lattice="-6.790 2.801 -2.454 -7.281 2.593 0.476 -5.894 4.982 -0.636" Properties=species:S:1:pos:R:3 comment="AgPdF2 | Alexandria | GGA-PBE | optimized geometry" relative_energy_mev_per_atom=0 sg="No. 166" raw_formation_energy_ev_per_atom=-0.834 pbc="T T T"
Pd 0.000 0.000 0.000
Ag -9.983 5.188 -1.307
F -18.185 9.451 -2.381
F -1.780 0.925 -0.233

***

Record 2
10
Lattice="3.291 0.000 0.000 0.000 7.719 0.000 0.000 0.000 6.205" Properties=species:S:1:pos:R:3 comment="AgPdF3 | Alexandria | GGA-PBE | optimized geometry" relative_energy_mev_per_atom=154 sg="No. 38" raw_formation_energy_ev_per_atom=-0.959 pbc="T T T"
Ag 1.646 1.929 1.515
Ag 1.646 5.790 4.617
Pd 0.000 5.789 2.207
Pd 0.000 1.931 5.310
F 1.646 4.471 2.211
F 1.646 0.613 5.314
F 0.000 1.929 3.053
F 1.646 3.249 5.314
F 0.000 5.790 6.156
F 1.646 7.107 2.211

***

Record 3
16
Lattice="-3.448 3.242 -1.965 -1.163 -4.962 0.538 -3.469 1.794 9.050" Properties=species:S:1:pos:R:3 comment="AgPdF6 | Alexandria | GGA-PBE | optimized geometry" relative_energy_mev_per_atom=12 sg="No. 163" raw_formation_energy_ev_per_atom=-1.202 pbc="T T T"
Ag -2.792 -1.779 1.966
Ag -5.288 1.853 5.657
Pd -1.734 0.897 4.525
Pd 0.000 0.000 0.000
F -2.777 0.194 3.020
F -5.303 -0.119 4.603
F -5.543 0.505 1.898
F -1.502 1.184 0.434
F -2.537 -0.431 5.725
F -6.578 -1.110 7.189
F -3.736 2.891 2.118
F -4.174 1.900 -0.732
F -4.345 -2.816 5.505
F -3.907 -1.825 8.354
F -3.591 -0.937 0.054
F -4.490 1.012 7.568

***

Record 4
8
Lattice="5.189 0.009 0.007 2.591 4.498 0.008 2.589 1.494 4.901" Properties=species:S:1:pos:R:3 comment="AgPdF6 | Alexandria | GGA-PBE | optimized geometry" relative_energy_mev_per_atom=6 sg="No. 148" raw_formation_energy_ev_per_atom=-1.208 pbc="T T T"
Ag 5.184 3.000 2.458
Pd 0.000 0.000 0.000
F 3.370 2.880 3.761
F 6.188 1.487 3.765
F 4.379 1.378 1.149
F 4.181 4.513 1.151
F 6.999 3.119 1.155
F 5.990 4.622 3.767

***

Record 5
12
Lattice="5.743 0.002 0.000 -0.851 5.578 0.000 -2.446 -2.790 5.678" Properties=species:S:1:pos:R:3 comment="AgPdF4 | Alexandria | GGA-PBE | optimized geometry" sg="No. 15" raw_formation_energy_ev_per_atom=-1.180 pbc="T T T"
Ag 1.010 2.789 0.963
Ag 1.436 0.001 4.715
Pd -1.861 2.788 3.713
Pd 4.307 0.002 1.965
F 5.163 1.171 0.600
F 2.601 4.410 0.600
F -0.420 1.063 3.369
F 2.866 1.727 2.310
F -0.845 3.851 2.310
F -0.155 -1.620 5.078
F 3.291 -1.062 3.369
F -2.717 1.619 5.078

***

Record 6
11
Lattice="6.442 -0.055 -0.063 -0.455 5.545 -0.422 -0.455 -1.156 5.440" Properties=species:S:1:pos:R:3 comment="Ag2Pd2F7 | Alexandria | GGA-PBE | optimized geometry" relative_energy_mev_per_atom=0 sg="No. 12" raw_formation_energy_ev_per_atom=-0.993 pbc="T T T"
Ag 2.653 1.289 1.474
Ag 2.878 3.045 3.481
Pd -0.455 0.943 3.604
Pd -0.455 3.446 1.414
F 4.609 4.398 2.631
F 0.922 2.311 0.246
F 0.922 -0.064 2.323
F 4.609 2.023 4.709
F 3.221 -0.028 -0.032
F 0.683 2.771 3.168
F 4.848 1.563 1.786

***

Record 7
11
Lattice="6.313 -0.001 -0.406 -0.634 5.302 -0.965 -0.225 -0.289 5.414" Properties=species:S:1:pos:R:3 comment="Ag2Pd2F7 | Alexandria | GGA-PBE | optimized geometry" relative_energy_mev_per_atom=6 sg="No. 12" raw_formation_energy_ev_per_atom=-0.986 pbc="T T T"
Ag -0.338 1.262 3.645
Ag -0.520 3.751 0.805
Pd 2.776 1.538 1.170
Pd 2.678 3.474 2.873
F 4.166 4.551 1.924
F 1.158 2.240 0.090
F 1.288 0.461 2.120
F 4.296 2.772 3.953
F 3.157 -0.001 -0.203
F 0.690 3.241 2.797
F 4.765 1.771 1.247

***

Record 8
19
Lattice="-2.050 -5.671 -3.101 5.770 1.141 -3.373 2.507 -2.649 5.716" Properties=species:S:1:pos:R:3 comment="Ag6PdF12 | Alexandria | GGA-PBE | optimized geometry" sg="No. 148" raw_formation_energy_ev_per_atom=-1.178 pbc="T T T"
Ag 2.961 -2.039 1.960
Ag 3.042 -5.768 1.395
Ag 5.879 -3.143 -0.160
Ag 3.266 -5.139 -2.718
Ag 3.185 -1.411 -2.152
Ag 0.348 -4.036 -0.598
Pd 0.000 0.000 0.000
F 1.667 -3.820 1.678
F 4.279 -1.355 -0.222
F 1.564 -3.482 -2.370
F 4.560 -3.358 -2.435
F 1.949 -5.824 -0.536
F 4.663 -3.696 1.612
F 7.108 -0.870 0.849
F 5.270 -0.735 -3.852
F 4.042 -2.675 4.434
F -0.881 -6.308 -1.607
F 0.957 -6.443 3.095
F 2.185 -4.504 -5.191

***

Record 9
28
Lattice="-6.425 3.404 -3.620 -7.718 -3.609 1.194 -4.367 6.031 4.310" Properties=species:S:1:pos:R:3 comment="AgPd2F11 | Alexandria | GGA-PBE | optimized geometry" sg="No. 72" raw_formation_energy_ev_per_atom=-1.086 pbc="T T T"
Ag -13.883 4.369 1.413
Ag -4.628 1.456 0.471
Pd -10.966 2.811 -0.130
Pd -7.544 3.014 2.015
Pd -9.673 7.833 1.213
Pd -8.837 -2.008 0.672
F -11.826 4.105 1.097
F -6.684 1.720 0.788
F -8.125 1.470 3.109
F -15.742 5.202 1.914
F -10.385 4.355 -1.225
F -2.769 0.623 -0.030
F -13.414 3.295 3.153
F -5.097 2.531 -1.269
F -9.255 2.913 0.942
F 0.000 0.000 0.000
F -12.561 2.751 -1.126
F -5.949 3.074 3.011
F -8.609 6.365 1.714
F -9.901 -0.540 0.170
F -11.540 1.412 1.004
F -6.970 4.413 0.881
F -8.428 4.160 3.230
F -9.798 7.222 -0.571
F -10.082 1.665 -1.346
F -8.712 -1.397 2.456
F -7.255 -1.144 0.106
F -11.256 6.969 1.778

***

Record 10
26
Lattice="6.979 0.000 0.000 -3.490 6.306 0.000 0.000 0.000 9.752" Properties=species:S:1:pos:R:3 comment="Ag3Pd2F8 | Alexandria | GGA-PBE | optimized geometry" sg="No. 64" raw_formation_energy_ev_per_atom=-0.988 pbc="T T T"
Ag 1.745 4.036 2.438
Ag 3.490 0.000 4.876
Ag 5.234 2.270 7.314
Ag -1.745 4.036 2.438
Ag 0.000 0.000 0.000
Ag 1.745 2.270 7.314
Pd 3.490 0.896 0.890
Pd 3.490 5.411 5.766
Pd 0.000 0.896 3.986
Pd 0.000 5.411 8.862
F 1.586 4.699 0.253
F 1.903 4.699 4.623
F 0.000 0.447 7.402
F 3.490 3.835 7.172
F 0.000 5.860 2.526
F 3.490 2.472 2.296
F -1.903 4.699 4.623
F 5.076 1.608 9.499
F -1.586 4.699 0.253
F 5.393 1.608 5.129
F 3.490 5.860 2.350
F 3.490 0.447 7.226
F 0.000 2.472 2.580
F 0.000 3.835 7.456
F 1.586 1.608 5.129
F 1.903 1.608 9.499

***

Record 11
4
Lattice="-3.794 -0.665 1.814 -3.344 2.385 -1.122 -3.172 -1.713 -2.266" Properties=species:S:1:pos:R:3 comment="AgPdF2 | Alexandria | GGA-PBE | optimized geometry" relative_energy_mev_per_atom=280 sg="No. 225" raw_formation_energy_ev_per_atom=-0.554 pbc="T T T"
Pd 0.000 0.000 0.000
Ag -5.155 0.004 -0.787
F -2.578 0.002 -0.393
F -7.733 0.006 -1.180

***

Record 12
14
Lattice="6.989 0.000 0.000 3.495 6.053 0.000 3.495 2.018 5.707" Properties=species:S:1:pos:R:3 comment="Ag5PdF8 | Alexandria | GGA-PBE | optimized geometry" relative_energy_mev_per_atom=73 sg="No. 216" raw_formation_energy_ev_per_atom=-0.963 pbc="T T T"
Ag 0.000 0.000 0.000
Ag 6.989 4.035 0.739
Ag 8.716 5.032 3.558
Ag 5.263 5.032 3.558
Ag 6.989 2.042 3.558
Pd 3.495 2.018 1.427
F 6.989 6.053 2.140
F 8.737 3.026 2.140
F 5.242 3.026 2.140
F 6.989 4.035 4.994
F 10.484 6.053 2.290
F 8.859 6.991 4.943
F 12.108 6.991 4.943
F 10.484 4.177 4.943